(1)
The following is a PBE calculation of crystalline LuTlCdTe3 at its relaxed geometry, from OQMD.

Structure (extended XYZ):
```
24
Lattice="11.626 0.000 0.000 0.000 4.422 0.000 0.000 0.000 15.333" Properties=species:S:1:pos:R:3 pbc="T T T"
Lu 0.181 1.106 3.770
Lu 5.632 3.317 11.437
Lu 5.994 1.106 3.896
Lu 11.445 3.317 11.563
Tl 2.667 3.317 7.841
Tl 3.146 1.106 0.174
Tl 8.480 3.317 15.159
Tl 8.959 1.106 7.492
Cd 2.774 1.106 10.945
Cd 3.039 3.317 3.278
Cd 8.587 1.106 12.055
Cd 8.852 3.317 4.388
Te 0.361 1.106 9.497
Te 0.715 3.317 1.709
Te 2.736 3.317 12.743
Te 3.077 1.106 5.076
Te 5.098 1.106 9.375
Te 5.452 3.317 1.830
Te 6.174 1.106 13.503
Te 6.528 3.317 5.958
Te 8.549 3.317 10.256
Te 8.890 1.106 2.590
Te 10.911 1.106 13.624
Te 11.265 3.317 5.836
```

Computed properties:
As for the total moment: 0.001 μB per atom. Its calculated total energy is -3.647 eV/atom. The density comes out at 7.37 g/cm³.

(2)
The following is a PBE calculation of crystalline AlBiW4N2 at its relaxed geometry, from OQMD.

Structure (extended XYZ):
```
8
Lattice="2.925 0.000 0.000 -1.463 2.534 0.000 0.000 0.000 15.704" Properties=species:S:1:pos:R:3 pbc="T T T"
Al 0.000 0.000 0.000
Bi 1.463 0.845 7.852
W 0.000 0.000 5.004
W 0.000 0.000 10.700
W 1.463 0.845 2.230
W 1.463 0.845 13.475
N 0.000 1.689 3.634
N 0.000 1.689 12.070
```

Computed properties:
As for the total moment: 0.001 μB per atom. Its calculated total energy is -9.131 eV/atom. The density comes out at 14.26 g/cm³.

(3)
The following is a PBE calculation of crystalline ThZr2F12 at its relaxed geometry, from OQMD.

Structure (extended XYZ):
```
30
Lattice="6.219 -5.146 0.000 6.219 5.146 0.000 -4.810 0.000 6.097" Properties=species:S:1:pos:R:3 pbc="T T T"
Th 6.219 2.852 0.000
Th 6.219 -2.852 0.000
Zr -0.416 0.000 3.474
Zr 3.260 0.000 1.373
Zr 4.368 0.000 4.724
Zr 8.044 0.000 2.623
F 0.000 0.000 0.000
F -2.405 0.000 3.049
F 2.139 1.585 0.680
F 2.122 3.657 4.041
F 0.485 1.572 4.352
F -1.434 0.000 5.261
F 5.506 3.657 2.056
F 1.502 0.000 2.580
F 4.787 1.272 0.815
F 2.139 -1.585 0.680
F 3.814 1.217 3.049
F 2.841 1.272 5.282
F 0.485 -1.572 4.352
F 7.143 1.572 1.746
F 4.787 -1.272 0.815
F 3.814 -1.217 3.049
F 5.489 1.585 5.417
F 2.841 -1.272 5.282
F 6.126 0.000 3.517
F 2.122 -3.657 4.041
F 9.062 0.000 0.837
F 7.143 -1.572 1.746
F 5.506 -3.657 2.056
F 5.489 -1.585 5.417
```

Computed properties:
As for the total moment: 0.000 μB per atom. Its calculated total energy is -6.931 eV/atom. The density comes out at 5.47 g/cm³.

(4)
The following is a PBE calculation of crystalline TaPdO3 at its relaxed geometry, from OQMD.

Structure (extended XYZ):
```
10
Lattice="2.716 1.568 4.649 -2.716 1.568 4.649 0.000 -3.137 4.649" Properties=species:S:1:pos:R:3 pbc="T T T"
Ta 0.000 0.000 0.000
Ta 0.000 0.000 6.973
Pd 0.000 0.000 3.487
Pd 0.000 0.000 10.460
O -1.576 0.406 5.811
O -1.140 -1.162 8.135
O 0.436 -1.568 5.811
O -0.436 1.568 8.135
O 1.140 1.162 5.811
O 1.576 -0.406 8.135
```

Computed properties:
As for the total moment: 0.200 μB per atom. Its calculated total energy is -8.067 eV/atom. The density comes out at 9.37 g/cm³.

(5)
The following is a PBE calculation of crystalline HoLuSi2Pd at its relaxed geometry, from OQMD.

Structure (extended XYZ):
```
10
Lattice="5.176 -2.115 0.000 5.176 2.115 0.000 -4.747 0.000 8.830" Properties=species:S:1:pos:R:3 pbc="T T T"
Ho -1.519 0.000 2.846
Ho 7.124 0.000 5.984
Lu 1.412 0.000 0.931
Lu 4.193 0.000 7.899
Si 1.734 0.000 3.826
Si 4.422 0.000 0.988
Si 1.184 0.000 7.842
Si 3.872 0.000 5.004
Pd -0.191 0.000 5.673
Pd 5.796 0.000 3.158
```

Computed properties:
As for the total moment: 0.077 μB per atom. Its calculated total energy is -5.943 eV/atom. The density comes out at 8.63 g/cm³.

(6)
The following is a PBE calculation of crystalline PuMgSb at its relaxed geometry, from OQMD.

Structure (extended XYZ):
```
3
Lattice="0.000 3.453 3.453 3.453 0.000 3.453 3.453 3.453 0.000" Properties=species:S:1:pos:R:3 pbc="T T T"
Pu 0.000 0.000 0.000
Mg 1.726 1.726 1.726
Sb 3.453 3.453 3.453
```

Computed properties:
As for the total moment: 2.139 μB per atom. Its calculated total energy is -6.723 eV/atom. The density comes out at 7.87 g/cm³.

(7)
The following is a PBE calculation of crystalline Tb2DyCd3PdAu2 at its relaxed geometry, from OQMD.

Structure (extended XYZ):
```
9
Lattice="3.830 0.000 0.000 0.000 6.770 3.913 0.000 -6.770 3.913" Properties=species:S:1:pos:R:3 pbc="T T T"
Tb 0.000 -4.072 3.913
Tb 0.000 4.072 3.913
Dy 0.000 0.000 3.153
Cd 1.915 0.000 0.467
Cd 1.915 -1.751 5.255
Cd 1.915 1.751 5.255
Pd 0.000 0.000 6.264
Au 1.915 -2.250 2.357
Au 1.915 2.250 2.357
```

Computed properties:
As for the total moment: 0.002 μB per atom. Its calculated total energy is -3.822 eV/atom. The density comes out at 10.79 g/cm³.

(8)
The following is a PBE calculation of crystalline ErZr at its relaxed geometry, from OQMD.

Structure (extended XYZ):
```
8
Lattice="6.959 0.000 0.000 0.000 5.781 0.000 0.000 0.000 5.292" Properties=species:S:1:pos:R:3 pbc="T T T"
Er 0.989 0.400 1.323
Er 0.989 2.491 3.969
Er 5.970 3.290 1.323
Er 5.970 5.382 3.969
Zr 2.749 3.437 1.323
Zr 2.749 5.235 3.969
Zr 4.210 0.547 1.323
Zr 4.210 2.344 3.969
```

Computed properties:
As for the total moment: 0.000 μB per atom. Its calculated total energy is -6.527 eV/atom. The density comes out at 8.06 g/cm³.